A relaxed structure of YBeTcW. Source: OQMD via LeMat-Bulk, functional GGA-PBE.

Properties
magnetic moment: 0.00 μB per formula unit
relative energy among the computed polymorphs: 0.000 eV/atom
electronic total energy: -8.10 eV/atom
SG: F-43m, No. 216

Cell: 4.542 4.542 4.542 Å, 60.00 60.00 60.00°
Fractional coordinates of all 4 atoms:
Be: 0.750 0.750 0.750
Tc: 0.250 0.250 0.250
W: 0.500 0.500 0.500
Y: 0.000 0.000 0.000